The following is a PBE calculation of a relaxed structure of V2GeOs2, from Alexandria via LeMat-Bulk.

Calculated total energy in eV per atom: -9.02
Energy of formation from the pure elements in meV per atom: 43
D(E_F) in states/eV per atom: 0.616
Spin magnetization in μB/f.u.: 0.0

Lattice parameters (Å, degrees): 7.249 7.249 2.870 90.00 90.00 90.00
Sites, in units of the cell vectors:
V: 0.656 0.844 0.500
V: 0.844 0.344 0.500
Os: 0.637 0.137 0.000
Os: 0.363 0.863 0.000
V: 0.156 0.656 0.500
Os: 0.863 0.637 0.000
Os: 0.137 0.363 0.000
V: 0.344 0.156 0.500
Ge: 0.000 0.000 0.000
Ge: 0.500 0.500 0.000